DFT (SCAN) results for a PBEsol-optimized structure of CrCuO4.

Cell: 5.458 8.065 6.210 Å, 90.00 90.00 90.00°
Space group Cmcm (No. 63)
Symmetry-distinct sites (fractional):
Cr 0.000 0.143 0.250 x4
Cu 0.000 0.500 0.000 x4
O 0.000 0.260 0.036 x8
O 0.243 0.474 0.750 x8

## Properties
Raw total energy ... -11.225 eV per atom



DFT (SCAN) results for a PBEsol-optimized structure of Cs2CdAu2.

Cell: 6.823 6.823 8.049 Å, 90.00 90.00 90.00°
Space group I4/mmm (No. 139)
Symmetry-distinct sites (fractional):
Cs 0.000 0.500 0.250 x4
Cd 0.000 0.000 0.000 x2
Au 0.000 0.000 0.335 x4

## Properties
Raw total energy ... -49.149 eV per atom



DFT (SCAN) results for a PBEsol-optimized structure of Rb3SbCl6.

Cell: 11.315 11.315 11.315 Å, 90.00 90.00 90.00°
Space group Fm-3m (No. 225)
Symmetry-distinct sites (fractional):
Rb 0.000 0.000 0.000 x4
Rb 0.250 0.250 0.250 x8
Sb 0.000 0.000 0.500 x4
Cl 0.000 0.000 0.268 x24

## Properties
Raw total energy ... -16.371 eV per atom



DFT (SCAN) results for a PBEsol-optimized structure of Zr3SbO.

Cell: 4.445 4.445 4.445 Å, 90.00 90.00 90.00°
Space group Pm-3m (No. 221)
Symmetry-distinct sites (fractional):
Zr 0.000 0.000 0.500 x3
Sb 0.500 0.500 0.500 x1
O 0.000 0.000 0.000 x1

## Properties
Raw total energy ... -28.440 eV per atom



DFT (SCAN) results for a PBEsol-optimized structure of BaTe2RuN.

Cell: 5.715 5.715 3.705 Å, 90.00 90.00 90.00°
Space group P4/mmm (No. 123)
Symmetry-distinct sites (fractional):
Ba 0.000 0.000 0.000 x1
Te 0.000 0.500 0.500 x2
Ru 0.500 0.500 0.500 x1
N 0.500 0.500 0.000 x1

## Properties
Raw total energy ... -32.052 eV per atom



DFT (SCAN) results for a PBEsol-optimized structure of HfCoP2I.

Cell: 4.885 4.885 4.986 Å, 90.00 90.00 90.00°
Space group P4/mmm (No. 123)
Symmetry-distinct sites (fractional):
Hf 0.000 0.000 0.000 x1
Co 0.000 0.000 0.500 x1
P 0.000 0.500 0.000 x2
I 0.500 0.500 0.500 x1

## Properties
Raw total energy ... -26.665 eV per atom



DFT (SCAN) results for a PBEsol-optimized structure of RbNbFe2.

Cell: 6.534 6.534 6.534 Å, 90.00 90.00 90.00°
Space group Fm-3m (No. 225)
Symmetry-distinct sites (fractional):
Rb 0.000 0.000 0.000 x4
Nb 0.000 0.000 0.500 x4
Fe 0.250 0.250 0.250 x8

## Properties
Raw total energy ... -20.954 eV per atom



DFT (SCAN) results for a PBEsol-optimized structure of Sr2NiHg.

Cell: 3.650 3.650 8.528 Å, 90.00 90.00 90.00°
Space group P4mm (No. 99)
Symmetry-distinct sites (fractional):
Sr 0.000 0.000 0.000 x1
Sr 0.500 0.500 0.413 x1
Ni 0.500 0.500 0.767 x1
Hg 0.000 0.000 0.646 x1

## Properties
Raw total energy ... -32.246 eV per atom